No. 1
Here is a relaxed La3PrP3 crystal from OQMD. Energies are from PBE.

Computed properties:
- total energy (eV/atom) = -6.238

a = 5.0209 Å, b = 5.0209 Å, c = 18.9189 Å
α = 90.00°, β = 90.00°, γ = 120.00°
Space group P6_3/mmc (No. 194)
Symmetry-distinct sites (fractional):
La 0.3333 0.6667 0.0992 x4
La 0.3333 0.6667 0.7500 x2
Pr 0.0000 0.0000 0.0000 x2
P 0.3333 0.6667 0.2500 x2
P 0.3333 0.6667 0.5726 x4



No. 2
Here is a relaxed LaPr2Ta2P6 crystal from OQMD. Energies are from PBE.

Computed properties:
- total energy (eV/atom) = -7.375

a = 4.751 Å, b = 4.751 Å, c = 23.192 Å
α = 90.00°, β = 90.00°, γ = 90.00°
Space group I4/mmm (No. 139)
Symmetry-distinct sites (fractional):
La 0.000 0.000 0.000 x2
Pr 0.000 0.000 0.168 x4
Ta 0.000 0.000 0.394 x4
P 0.000 0.000 0.294 x4
P 0.000 0.500 0.082 x8



No. 3
Here is a relaxed LaPPt crystal from OQMD. Energies are from PBE.

Computed properties:
- total energy (eV/atom) = -6.466

a = 7.3757 Å, b = 7.3757 Å, c = 4.2145 Å
α = 90.00°, β = 90.00°, γ = 120.00°
Space group P-62m (No. 189)
Symmetry-distinct sites (fractional):
La 0.0000 0.6270 0.0000 x3
P 0.0000 0.3132 0.5000 x3
Pt 0.0000 0.0000 0.0000 x1
Pt 0.3333 0.6667 0.5000 x2



No. 4
Here is a relaxed LaPPt crystal from OQMD. Energies are from PBE.

Computed properties:
- total energy (eV/atom) = -6.866

a = 4.2369 Å, b = 4.2369 Å, c = 8.2448 Å
α = 90.00°, β = 90.00°, γ = 120.00°
Space group P6_3/mmc (No. 194)
Symmetry-distinct sites (fractional):
La 0.0000 0.0000 0.0000 x2
P 0.3333 0.6667 0.2500 x2
Pt 0.3333 0.6667 0.7500 x2



No. 5
Here is a relaxed LaPPt crystal from OQMD. Energies are from PBE.

Computed properties:
- total energy (eV/atom) = -6.184

a = 5.0515 Å, b = 5.0515 Å, c = 5.8587 Å
α = 90.00°, β = 90.00°, γ = 120.00°
Space group P6_3/mmc (No. 194)
Symmetry-distinct sites (fractional):
La 0.3333 0.6667 0.2500 x2
P 0.3333 0.6667 0.7500 x2
Pt 0.0000 0.0000 0.0000 x2



No. 6
Here is a relaxed LaPPt crystal from OQMD. Energies are from PBE.

Computed properties:
- total energy (eV/atom) = -6.156

a = 7.8507 Å, b = 7.8507 Å, c = 4.0494 Å
α = 90.00°, β = 90.00°, γ = 120.00°
Space group P-62m (No. 189)
Symmetry-distinct sites (fractional):
La 0.0000 0.2900 0.0000 x3
P 0.0000 0.0000 0.5000 x1
P 0.3333 0.6667 0.0000 x2
Pt 0.0000 0.6940 0.5000 x3